1.
Density functional theory data (GGA-PBE) for YMgB after structural relaxation.

Calculated values
Energy relative to the lowest polymorph listed for this composition, meV per atom: 153
Formation enthalpy at 0 K, eV/atom: -0.124
M_tot, μB/f.u.: 0.00
Total DFT energy (no corrections), hartree per atom: -0.185

Structure (POSCAR):
```
YMgB
1.0
-2.3146 -4.2028 6.5720
0.2900 -1.8231 -2.6134
5.0196 -1.5117 -0.3330
Mg B Y
2 2 2
direct
0.4571 0.8199 0.9189
0.6195 0.2411 0.4006
0.1430 0.5186 0.8939
0.1969 0.0276 0.9846
0.1804 0.2880 0.4301
0.8597 0.7377 0.8919
```



2.
Density functional theory data (GGA-PBE) for ReSb2ICl after structural relaxation.

Calculated values
Energy relative to the lowest polymorph listed for this composition, meV per atom: 0
M_tot, μB/f.u.: 0.00
Energy relative to the elements, uncorrected, meV/atom: 458
Total DFT energy (no corrections), hartree per atom: -0.160

Structure (POSCAR):
```
ReSb2ICl
1.0
-0.9648 4.3067 -2.6488
-5.0138 -0.4672 1.0665
0.7098 3.0269 4.6629
Re Sb Cl I
1 2 1 1
direct
0.0000 0.0000 0.0000
0.0000 0.5000 0.0000
0.5000 0.0000 0.0000
0.5000 0.5000 0.5000
0.0000 0.0000 0.5000
```



3.
Density functional theory data (GGA-PBE) for Mg2CuSe after structural relaxation.

Calculated values
M_tot, μB/f.u.: 0.00
Energy relative to the elements, uncorrected, meV/atom: -199
Total DFT energy (no corrections), hartree per atom: -0.106

Structure (POSCAR):
```
Mg2CuSe
1.0
3.1220 0.0000 0.0000
0.0000 5.0981 0.0000
0.0000 0.0000 9.9739
Cu Se Mg
2 2 4
direct
0.0000 0.5000 0.3729
0.5000 0.0000 0.6271
0.0000 0.5000 0.9118
0.5000 0.0000 0.0882
0.0000 0.0000 0.8538
0.5000 0.0000 0.3618
0.0000 0.5000 0.6382
0.5000 0.5000 0.1462
```



4.
Density functional theory data (GGA-PBE) for FeCuAs6 after structural relaxation.

Calculated values
Formation enthalpy at 0 K, eV/atom: -0.078
M_tot, μB/f.u.: 0.00
Total DFT energy (no corrections), hartree per atom: -0.189

Structure (POSCAR):
```
FeCuAs6
1.0
-5.3634 -3.7059 -3.2207
6.4236 -2.4314 -2.3872
-0.3679 -0.9752 7.2602
Cu As Fe
2 12 2
direct
0.5000 0.0000 0.0000
0.0000 0.5000 0.0000
0.6434 0.5054 0.8405
0.8501 0.6643 0.5144
0.8504 0.3574 0.2078
0.3566 0.4946 0.1595
0.3351 0.1971 0.8405
0.4974 0.1608 0.3576
0.1496 0.6426 0.7922
0.6649 0.8029 0.1595
0.1499 0.3357 0.4856
0.5026 0.8392 0.6424
0.1968 0.8602 0.3576
0.8032 0.1398 0.6424
0.5000 0.5000 0.5000
0.0000 0.0000 0.5000
```



5.
Density functional theory data (GGA-PBE) for Pm2Ho2Er3 after structural relaxation.

Calculated values
Energy relative to the lowest polymorph listed for this composition, meV per atom: 0
Formation enthalpy at 0 K, eV/atom: 0.123
M_tot, μB/f.u.: 0.00
Total DFT energy (no corrections), hartree per atom: -0.165

Structure (POSCAR):
```
Pm2Ho2Er3
1.0
3.4952 0.0000 0.0000
0.0000 8.4678 -0.7362
-1.7476 -3.5728 7.9569
Er Pm Ho
3 2 2
direct
0.0000 0.5000 0.0000
0.2115 0.8000 0.4231
0.7885 0.2000 0.5769
0.4331 0.0881 0.8663
0.5669 0.9119 0.1337
0.8501 0.6669 0.7003
0.1499 0.3331 0.2997
```



6.
Density functional theory data (GGA-PBE) for YSi2Br after structural relaxation.

Calculated values
Energy relative to the lowest polymorph listed for this composition, meV per atom: 320
M_tot, μB/f.u.: 0.00
Energy relative to the elements, uncorrected, meV/atom: -399
Total DFT energy (no corrections), hartree per atom: -0.189

Structure (POSCAR):
```
YSi2Br
1.0
-1.7002 1.7882 -5.2809
1.0417 -0.7861 -5.6809
-3.6522 -3.8327 -0.3688
Br Si Y
1 2 1
direct
0.2500 0.2500 0.2500
0.4494 0.4494 0.7075
0.0506 0.0506 0.7925
0.7500 0.7500 0.7500
```



7.
Density functional theory data (GGA-PBE) for Nd6ZnNi2 after structural relaxation.

Calculated values
Formation enthalpy at 0 K, eV/atom: -0.205
M_tot, μB/f.u.: 0.00
Total DFT energy (no corrections), hartree per atom: -0.177

Structure (POSCAR):
```
Nd6ZnNi2
1.0
-0.2754 -8.1353 -2.7978
7.8574 2.4616 2.5078
-5.0901 0.7555 6.8998
Zn Nd Ni
2 12 4
direct
0.0000 0.0000 0.0000
0.0000 0.5000 0.5000
0.6910 0.3649 0.6739
0.8079 0.2348 0.0426
0.6910 0.0171 0.3261
0.3090 0.6351 0.3261
0.4654 0.2871 0.1782
0.1921 0.7652 0.9574
0.5346 0.7129 0.8218
0.3090 0.9829 0.6739
0.1089 0.2871 0.8218
0.1921 0.2348 0.4269
0.8911 0.7129 0.1782
0.8079 0.7652 0.5731
0.6503 0.0000 0.6503
0.5000 0.6203 0.1203
0.3497 0.0000 0.3497
0.5000 0.3797 0.8797
```



8.
Density functional theory data (GGA-PBE) for K6PuBr12 after structural relaxation.

Calculated values
M_tot, μB/f.u.: 5.81
Energy relative to the elements, uncorrected, meV/atom: -1379
Total DFT energy (no corrections), hartree per atom: -0.130

Structure (POSCAR):
```
K6PuBr12
1.0
9.0775 0.7403 -1.7915
-2.3102 8.8098 -1.7915
0.5246 0.7403 9.2377
Br K Pu
12 6 1
direct
0.8429 0.4162 0.5371
0.1571 0.5838 0.4629
0.9456 0.7028 0.0148
0.0148 0.9456 0.7028
0.5838 0.4629 0.1571
0.2972 0.9852 0.0544
0.0544 0.2972 0.9852
0.7028 0.0148 0.9456
0.4162 0.5371 0.8429
0.5371 0.8429 0.4162
0.4629 0.1571 0.5838
0.9852 0.0544 0.2972
0.8427 0.7094 0.3731
0.3731 0.8427 0.7094
0.6269 0.1573 0.2906
0.2906 0.6269 0.1573
0.7094 0.3731 0.8427
0.1573 0.2906 0.6269
0.0000 0.0000 0.0000
```



9.
Density functional theory data (GGA-PBE) for Ta2BS after structural relaxation.

Calculated values
Energy relative to the lowest polymorph listed for this composition, meV per atom: 0
M_tot, μB/f.u.: 0.00
Energy relative to the elements, uncorrected, meV/atom: -78
Total DFT energy (no corrections), hartree per atom: -0.320

Structure (POSCAR):
```
Ta2BS
1.0
-2.3274 2.1894 2.7775
-3.3185 2.2632 -1.3379
-3.9341 -1.2618 0.9248
S Ta B
1 2 1
direct
0.5000 0.5000 0.5000
0.2500 0.2500 0.2500
0.7500 0.7500 0.7500
0.0000 0.0000 0.0000
```



10.
Density functional theory data (GGA-PBE) for V2BiMoN after structural relaxation.

Calculated values
M_tot, μB/f.u.: 0.63
Energy relative to the elements, uncorrected, meV/atom: 2114
Total DFT energy (no corrections), hartree per atom: -0.226

Structure (POSCAR):
```
V2BiMoN
1.0
-1.3318 -3.8358 1.8400
3.8264 0.4339 3.6741
-2.7979 2.2422 2.6491
Bi N V Mo
1 1 2 1
direct
0.0000 0.5000 0.0000
0.5000 0.5000 0.5000
0.0000 0.0000 0.5000
0.5000 0.0000 0.0000
0.0000 0.0000 0.0000
```



11.
Density functional theory data (GGA-PBE) for YCr2Pb after structural relaxation.

Calculated values
Formation enthalpy at 0 K, eV/atom: 0.393
M_tot, μB/f.u.: 7.78
Total DFT energy (no corrections), hartree per atom: -0.256

Structure (POSCAR):
```
YCr2Pb
1.0
-3.2630 2.8847 -1.1705
-2.7840 -3.4627 -0.7732
-1.3387 0.1567 4.1182
Y Cr Pb
1 2 1
direct
0.0000 0.5000 0.5000
0.5000 0.5000 0.0000
0.0000 0.0000 0.0000
0.5000 0.0000 0.5000
```



12.
Density functional theory data (GGA-PBE) for Cu3TeO6 after structural relaxation.

Calculated values
Energy relative to the lowest polymorph listed for this composition, meV per atom: 42
M_tot, μB/f.u.: 3.02
Energy relative to the elements, uncorrected, meV/atom: -634
Total DFT energy (no corrections), hartree per atom: -0.189

Structure (POSCAR):
```
Cu3TeO6
1.0
-6.1252 -0.2743 0.1525
0.0461 -5.1446 -3.3388
0.1787 -3.4207 5.0876
O Cu Te
12 6 2
direct
0.0542 0.3087 0.9347
0.4574 0.5822 0.8084
0.0653 0.9458 0.6913
0.1916 0.5426 0.4178
0.4178 0.1916 0.5426
0.3087 0.9347 0.0542
0.9347 0.0542 0.3087
0.5822 0.8084 0.4574
0.6913 0.0653 0.9458
0.9458 0.6913 0.0653
0.8084 0.4574 0.5822
0.5426 0.4178 0.1916
0.4571 0.9216 0.7552
0.0784 0.2448 0.5429
0.2448 0.5429 0.0784
0.5429 0.0784 0.2448
0.9216 0.7552 0.4571
0.7552 0.4571 0.9216
0.5000 0.5000 0.5000
0.0000 0.0000 0.0000
```



Question: What is the M_tot in the eleventh record?
Answer: 7.78 μB/f.u.